The following is a PBE-GGA calculation of PAu2Se2 after structural relaxation, from Alexandria via LeMat-Bulk.

```
PAu2Se2
1.0
-4.072 -5.827 1.639
6.031 -3.741 1.688
-0.276 1.247 3.746
Se P Au
4 2 4
Direct
0.297 0.797 0.000 Se
0.203 0.297 0.000 Se
0.703 0.203 0.000 Se
0.797 0.703 0.000 Se
0.000 0.000 0.000 P
0.500 0.500 0.000 P
0.868 0.368 0.500 Au
0.132 0.632 0.500 Au
0.368 0.132 0.500 Au
0.632 0.868 0.500 Au
```

* energy relative to the elements, uncorrected: 0.444 eV/atom
* energy relative to the lowest polymorph listed for this composition: 0.000 eV per atom
* spin magnetization: 0.0 Bohr magnetons per cell